[1]
A relaxed structure of K2MnVH, computed with GGA-PBE.

DFT total energy (eV per cell): -18.5

Structure (POSCAR):
```
K2MnVH
1.0
6.782 0.000 0.000
0.000 6.782 0.000
0.000 0.000 3.495
K Mn V H
2 1 1 1
Direct
0.000 0.500 0.000
0.500 0.000 0.000
0.000 0.000 0.500
0.500 0.500 0.000
0.500 0.500 0.500
```

[2]
A relaxed structure of KMnZnH6, computed with GGA-PBE.

DFT total energy (eV per cell): -32.3

Structure (POSCAR):
```
KMnZnH6
1.0
4.567 0.000 0.000
-2.284 3.955 0.000
0.000 0.000 5.330
K Mn Zn H
1 1 1 6
Direct
0.000 0.000 0.000
0.333 0.667 0.500
0.667 0.333 0.500
0.039 0.519 0.287
0.039 0.519 0.713
0.481 0.519 0.287
0.481 0.519 0.713
0.481 0.961 0.287
0.481 0.961 0.713
```

[3]
A relaxed structure of KMoH3, computed with GGA-PBE.

Energy above the lowest structure with this stoichiometry (meV/atom): 1313.5
DFT total energy (eV per cell): -14.1

Structure (POSCAR):
```
KMoH3
1.0
4.312 0.000 0.000
0.000 4.312 0.000
0.000 0.000 4.312
K Mo H
1 1 3
Direct
0.000 0.000 0.000
0.500 0.500 0.500
0.000 0.000 0.500
0.000 0.500 0.000
0.500 0.000 0.000
```

[4]
A relaxed structure of K2MoH, computed with GGA-PBE.

Energy above the lowest structure with this stoichiometry (meV/atom): 205.4
DFT total energy (eV per cell): -10.8

Structure (POSCAR):
```
K2MoH
1.0
0.000 4.147 4.147
4.147 0.000 4.147
4.147 4.147 0.000
K Mo H
2 1 1
Direct
0.250 0.250 0.250
0.750 0.750 0.750
0.000 0.000 0.000
0.500 0.500 0.500
```

[5]
A relaxed structure of KMo2H2, computed with GGA-PBE.

Energy above the lowest structure with this stoichiometry (meV/atom): 529.4
DFT total energy (eV per cell): -48.5

Structure (POSCAR):
```
KMo2H2
1.0
8.019 0.000 0.000
0.000 8.019 0.000
0.000 0.000 2.917
K Mo H
2 4 4
Direct
0.000 0.000 0.000
0.500 0.500 0.000
0.095 0.405 0.500
0.405 0.905 0.500
0.595 0.095 0.500
0.905 0.595 0.500
0.096 0.596 0.000
0.404 0.096 0.000
0.596 0.904 0.000
0.904 0.404 0.000
```

[6]
A relaxed structure of K5Mo2H12, computed with GGA-PBE.

DFT total energy (eV per cell): -68.8

Structure (POSCAR):
```
K5Mo2H12
1.0
-3.346 4.359 4.428
3.346 -4.359 4.428
3.346 4.359 -4.428
K Mo H
5 2 12
Direct
0.000 0.000 0.000
0.000 0.280 0.721
0.000 0.720 0.279
0.441 0.720 0.721
0.559 0.280 0.279
0.500 0.250 0.750
0.500 0.750 0.250
0.286 0.216 0.502
0.286 0.784 0.071
0.290 0.075 0.785
0.290 0.504 0.215
0.398 0.500 0.898
0.400 0.900 0.500
0.600 0.100 0.500
0.602 0.500 0.102
0.710 0.496 0.785
0.710 0.925 0.215
0.714 0.216 0.929
0.714 0.784 0.498
```

[7]
A relaxed structure of KMo2H2, computed with GGA-PBE.

Energy above the lowest structure with this stoichiometry (meV/atom): 0.0
DFT total energy (eV per cell): -26.9

Structure (POSCAR):
```
KMo2H2
1.0
-1.823 1.823 6.371
1.823 -1.823 6.371
1.823 1.823 -6.371
K Mo H
1 2 2
Direct
0.000 0.000 0.000
0.250 0.750 0.500
0.750 0.250 0.500
0.326 0.326 0.000
0.674 0.674 0.000
```

[8]
A relaxed structure of KMo2H7, computed with GGA-PBE.

DFT total energy (eV per cell): -44.7

Structure (POSCAR):
```
KMo2H7
1.0
2.638 -5.044 0.000
2.638 5.044 0.000
0.000 0.000 3.505
K Mo H
1 2 7
Direct
0.000 0.000 0.000
0.310 0.690 0.500
0.690 0.310 0.500
0.017 0.318 0.500
0.318 0.017 0.500
0.372 0.628 0.000
0.500 0.500 0.500
0.628 0.372 0.000
0.682 0.983 0.500
0.983 0.682 0.500
```

[9]
A relaxed structure of KMoH3, computed with GGA-PBE.

Energy above the lowest structure with this stoichiometry (meV/atom): 0.0
DFT total energy (eV per cell): -20.6

Structure (POSCAR):
```
KMoH3
1.0
3.941 0.000 0.000
0.000 3.941 0.000
0.000 0.000 3.941
K Mo H
1 1 3
Direct
0.000 0.000 0.000
0.500 0.500 0.500
0.000 0.500 0.500
0.500 0.000 0.500
0.500 0.500 0.000
```

[10]
A relaxed structure of K3MoH6, computed with GGA-PBE.

DFT total energy (eV per cell): -35.1

Structure (POSCAR):
```
K3MoH6
1.0
0.000 4.343 4.343
4.343 0.000 4.343
4.343 4.343 0.000
K Mo H
3 1 6
Direct
0.000 0.000 0.000
0.250 0.250 0.250
0.750 0.750 0.750
0.500 0.500 0.500
0.287 0.287 0.713
0.287 0.713 0.287
0.287 0.713 0.713
0.713 0.287 0.287
0.713 0.287 0.713
0.713 0.713 0.287
```

[11]
A relaxed structure of K2MoH, computed with GGA-PBE.

Energy above the lowest structure with this stoichiometry (meV/atom): 0.0
DFT total energy (eV per cell): -23.3

Structure (POSCAR):
```
K2MoH
1.0
-4.060 4.060 4.460
4.060 -4.060 4.460
4.060 4.060 -4.460
K Mo H
4 2 2
Direct
0.014 0.625 0.889
0.375 0.264 0.389
0.736 0.125 0.111
0.875 0.986 0.611
0.250 0.750 0.500
0.500 0.500 0.000
0.000 0.000 0.000
0.750 0.250 0.500
```

[12]
A relaxed structure of KMo2H8, computed with GGA-PBE.

DFT total energy (eV per cell): -49.4

Structure (POSCAR):
```
KMo2H8
1.0
2.305 -4.338 0.000
2.305 4.338 0.000
-0.006 0.000 5.709
K Mo H
1 2 8
Direct
0.000 0.000 0.000
0.305 0.659 0.516
0.659 0.305 0.516
0.237 0.968 0.615
0.314 0.682 0.812
0.426 0.426 0.322
0.567 0.567 0.681
0.642 0.992 0.329
0.682 0.314 0.812
0.968 0.237 0.615
0.992 0.642 0.329
```

[13]
A relaxed structure of K2NaMoH6, computed with GGA-PBE.

DFT total energy (eV per cell): -35.4

Structure (POSCAR):
```
K2NaMoH6
1.0
0.000 4.156 4.156
4.156 0.000 4.156
4.156 4.156 0.000
K Na Mo H
2 1 1 6
Direct
0.250 0.250 0.250
0.750 0.750 0.750
0.000 0.000 0.000
0.500 0.500 0.500
0.276 0.276 0.724
0.276 0.724 0.276
0.276 0.724 0.724
0.724 0.276 0.276
0.724 0.276 0.724
0.724 0.724 0.276
```

[14]
A relaxed structure of K2NbMoH, computed with GGA-PBE.

DFT total energy (eV per cell): -18.4

Structure (POSCAR):
```
K2NbMoH
1.0
6.729 0.000 0.000
0.000 6.729 0.000
0.000 0.000 4.636
K Nb Mo H
2 1 1 1
Direct
0.000 0.500 0.000
0.500 0.000 0.000
0.000 0.000 0.000
0.000 0.000 0.500
0.500 0.500 0.500
```